Record 1
VASP calculation (PBE) on a geometry-optimized Y2BrN structure.

Cell and atoms, written as POSCAR:
```
Y2BrN
1.0
0.000 3.327 3.327
3.327 0.000 3.327
3.327 3.327 0.000
N Y Br
1 2 1
Cartesian
0.000 0.000 0.000
1.664 1.664 1.664
4.991 4.991 4.991
3.327 3.327 3.327
```

Properties
SG: No. 225
Formation energy (no corrections), eV per atom: -0.439


Record 2
VASP calculation (PBE) on a geometry-optimized Sm4Ho5Cd structure.

Cell and atoms, written as POSCAR:
```
Sm4Ho5Cd
1.0
5.730 0.000 0.000
2.865 7.547 0.000
2.865 0.000 7.547
Sm Ho Cd
4 5 1
Cartesian
2.660 2.400 2.399
5.525 5.148 2.400
8.390 5.147 5.148
5.525 2.399 5.147
5.471 2.777 0.000
3.769 0.000 0.000
8.336 7.546 2.777
2.606 0.000 4.770
5.471 4.770 7.546
1.010 0.000 0.000
```

Properties
SG: No. 107
Formation enthalpy at 0 K, eV/atom: 0.118


Record 3
VASP calculation (PBE) on a geometry-optimized ScRh2W structure.

Cell and atoms, written as POSCAR:
```
ScRh2W
1.0
4.723 0.008 0.000
-1.008 4.614 0.000
0.000 0.000 2.900
Sc W Rh
1 1 2
Cartesian
2.361 0.004 1.450
-0.504 2.307 1.450
1.857 2.311 0.000
0.000 0.000 0.000
```

Properties
SG: No. 65
Formation enthalpy at 0 K, eV/atom: -0.395